# CoNi7Pd2 | Alexandria via LeMat-Bulk | PBE | relaxed
data_CoNi7Pd2
_cell_length_a 2.5573
_cell_length_b 6.2086
_cell_length_c 8.0986
_cell_angle_alpha 108.90
_cell_angle_beta 90.40
_cell_angle_gamma 90.72
_symmetry_space_group_name_H-M 'P 1'
_symmetry_Int_Tables_number 1
loop_
_symmetry_equiv_pos_as_xyz
'x,y,z'
loop_
_atom_site_label
_atom_site_type_symbol
_atom_site_fract_x
_atom_site_fract_y
_atom_site_fract_z
Co1 Co 0.0000 0.0000 0.0000
Ni1 Ni 0.0055 0.7638 0.2008
Ni2 Ni 0.4919 0.6335 0.9189
Ni3 Ni 0.4974 0.4057 0.6128
Ni4 Ni 0.5000 0.0000 0.5000
Ni5 Ni 0.5026 0.5943 0.3872
Ni6 Ni 0.5081 0.3665 0.0811
Ni7 Ni 0.9945 0.2362 0.7992
Pd1 Pd 0.0086 0.7905 0.6834
Pd2 Pd 0.9914 0.2095 0.3166
# **Uncorrected energy**: -5.665 eV/atom
# **Space group**: No. 2
# **Crystal system**: triclinic
# **Mass density**: 9.3 g cm⁻³
# **Magnetic moment**: 7.249 μB/f.u.
# **Energy relative to the elements**: 0.1316 eV per atom